# 1
The following is a PBE-GGA calculation of InGa3Sn3 after structural relaxation, from the Alexandria database.

For the energy above the most stable polymorph in this dataset, the calculation gives 0.001 eV/atom. As for the total moment: 0.000 Bohr magnetons per cell. For the density of states at the Fermi level, the calculation gives 7.6 states/eV/cell. The formation energy is 0.060 eV per atom. The value obtained for the total energy is -3.344 eV/atom. The space group is P6_3/m (176).

```
14
Lattice="8.5965 0.0000 0.0000 -4.2982 7.4448 0.0000 0.0000 0.0000 5.2696" Properties=species:S:1:pos:R:3 pbc="T T T"
In 0.0000 4.9632 1.3174
In 4.2982 2.4816 3.9522
Ga -0.5806 1.6066 1.3174
Ga -2.6165 7.1443 1.3174
Ga 1.1011 1.3061 3.9522
Ga 3.1972 6.1386 1.3174
Ga 6.9148 0.3005 3.9522
Ga 4.8788 5.8381 3.9522
Sn -1.1817 3.3985 3.9522
Sn -0.7642 6.7689 3.9522
Sn 2.3523 2.7226 1.3174
Sn 1.9459 4.7222 3.9522
Sn 5.0625 0.6759 1.3174
Sn 5.4799 4.0463 1.3174
```



# 2
The following is a PBE-GGA calculation of InGaSn4 after structural relaxation, from the Alexandria database.

For the energy above the most stable polymorph in this dataset, the calculation gives 0.099 eV/atom. As for the total moment: 0.000 Bohr magnetons per cell. For the density of states at the Fermi level, the calculation gives 3.1 states/eV/cell. The formation energy is 0.148 eV per atom. The value obtained for the total energy is -3.482 eV/atom. The space group is F-43m (216).

```
6
Lattice="0.0000 4.4174 4.4174 4.4174 0.0000 4.4174 4.4174 4.4174 0.0000" Properties=species:S:1:pos:R:3 pbc="T T T"
In 0.0000 0.0000 0.0000
Ga 6.6261 6.6261 6.6261
Sn 3.3140 3.3140 3.3140
Sn 5.5208 5.5208 3.3140
Sn 5.5208 3.3140 5.5208
Sn 3.3140 5.5208 5.5208
```



# 3
The following is a PBE-GGA calculation of In2GaSn after structural relaxation, from the Alexandria database.

For the energy above the most stable polymorph in this dataset, the calculation gives 0.029 eV/atom. As for the total moment: 0.000 Bohr magnetons per cell. For the density of states at the Fermi level, the calculation gives 5.1 states/eV/cell. The formation energy is 0.073 eV per atom. The value obtained for the total energy is -3.054 eV/atom. The space group is R3m (160).

```
12
Lattice="4.5378 0.0000 0.0000 -2.2689 3.9298 0.0000 0.0000 0.0000 18.3889" Properties=species:S:1:pos:R:3 pbc="T T T"
In 0.0000 0.0000 0.0000
In 0.0000 0.0000 3.4200
In 0.0000 2.6199 12.2592
In 0.0000 2.6199 15.6792
In 2.2689 1.3099 6.1296
In 2.2689 1.3099 9.5496
Ga 0.0000 0.0000 10.8948
Ga 0.0000 2.6199 4.7652
Ga 2.2689 1.3099 17.0244
Sn 0.0000 0.0000 7.8948
Sn 0.0000 2.6199 1.7652
Sn 2.2689 1.3099 14.0245
```



# 4
The following is a PBE-GGA calculation of In5GaSn8 after structural relaxation, from the Alexandria database.

As for the total moment: 0.000 Bohr magnetons per cell. For the density of states at the Fermi level, the calculation gives 4.8 states/eV/cell. The formation energy is 0.112 eV per atom. The value obtained for the total energy is -3.370 eV/atom. The space group is I-4 (82).

```
14
Lattice="-5.2066 5.2066 3.7831 5.2066 -5.2066 3.7831 5.2066 5.2066 -3.7831" Properties=species:S:1:pos:R:3 pbc="T T T"
In 0.0000 0.0000 0.0000
In 3.7768 4.0626 -1.0577
In 1.4298 1.1440 2.7254
In 6.3506 3.7768 1.0577
In -1.1440 1.4298 4.8408
Ga 5.2066 0.0000 1.8915
Sn 1.9153 -1.8244 1.8545
Sn 3.2913 7.0310 -1.9286
Sn 0.3581 3.6116 0.6385
Sn 3.3822 3.2913 1.9286
Sn -0.3581 6.8016 0.6385
Sn -1.5950 4.8485 3.1446
Sn 1.8244 1.9153 5.7117
Sn 1.5950 5.5647 3.1446
```



# 5
The following is a PBE-GGA calculation of In3Ga2Sn after structural relaxation, from the Alexandria database.

For the energy above the most stable polymorph in this dataset, the calculation gives 0.000 eV/atom. As for the total moment: 0.000 Bohr magnetons per cell. For the density of states at the Fermi level, the calculation gives 10.1 states/eV/cell. The formation energy is 0.043 eV per atom. The value obtained for the total energy is -3.002 eV/atom. The space group is P2_1/c (14).

```
24
Lattice="8.3407 0.0000 0.0000 0.0000 6.7101 0.0000 -4.3897 0.0000 10.5545" Properties=species:S:1:pos:R:3 pbc="T T T"
In 1.0196 0.8396 0.9859
In -1.1753 2.5155 6.2632
In 1.0323 4.2113 0.9442
In -1.1625 5.8538 6.2215
In 0.9440 4.1910 4.2913
In -1.2509 5.8741 9.5685
In 5.2018 0.8360 0.9860
In 3.0070 2.5191 6.2632
In 5.1135 0.8563 4.3330
In 2.9186 2.4988 9.6103
In 5.1262 4.1946 4.2913
In 2.9314 5.8705 9.5686
Ga -3.2876 4.1598 7.9548
Ga -1.0927 5.9053 2.6775
Ga 0.8840 0.8099 7.8774
Ga 3.0789 2.5451 2.6002
Ga 0.8721 4.1650 7.9543
Ga 3.0669 5.9002 2.6771
Ga 5.0437 0.8048 7.8770
Ga 7.2385 2.5503 2.5997
Sn 0.9527 0.8915 4.3369
Sn -1.2422 2.4635 9.6142
Sn 5.1932 4.2466 0.9403
Sn 2.9983 5.8186 6.2176
```



# 6
The following is a PBE-GGA calculation of In2Ga5Sn2 after structural relaxation, from the Alexandria database.

As for the total moment: 0.000 Bohr magnetons per cell. For the density of states at the Fermi level, the calculation gives 7.4 states/eV/cell. The formation energy is 0.039 eV per atom. The value obtained for the total energy is -3.141 eV/atom. The space group is C2 (5).

```
18
Lattice="7.9918 -3.2367 0.0000 7.9918 3.2367 0.0000 -5.8763 0.0000 7.9874" Properties=species:S:1:pos:R:3 pbc="T T T"
In 1.4892 0.0000 0.4620
In 3.4169 0.0005 3.1354
In 6.6905 0.0005 4.8521
In 8.6182 0.0000 7.5255
Ga -1.8720 1.6039 7.9853
Ga 1.8533 1.8891 5.0574
Ga 5.8878 1.3285 1.8757
Ga 4.2196 1.3285 6.1118
Ga 8.2540 1.8891 2.9301
Ga 11.9794 1.6039 0.0021
Ga 1.8693 -1.9002 5.0436
Ga 5.8722 -1.3446 1.8796
Ga 4.2351 -1.3446 6.1078
Ga 8.2381 -1.9002 2.9439
Sn 5.0537 3.2237 3.9937
Sn -0.3274 -0.0166 5.8631
Sn 7.9918 -0.0168 0.0000
Sn 10.4348 -0.0166 2.1244
```



# 7
The following is a PBE-GGA calculation of In2GaSn3 after structural relaxation, from the Alexandria database.

For the energy above the most stable polymorph in this dataset, the calculation gives 0.035 eV/atom. As for the total moment: 0.000 Bohr magnetons per cell. For the density of states at the Fermi level, the calculation gives 6.2 states/eV/cell. The formation energy is 0.086 eV per atom. The value obtained for the total energy is -3.333 eV/atom. The space group is C2/m (12).

```
12
Lattice="3.5682 -6.4738 0.0000 3.5682 6.4738 0.0000 -2.5866 0.0000 7.1106" Properties=species:S:1:pos:R:3 pbc="T T T"
In 0.0000 0.0000 0.0000
In 2.2750 4.4963 3.5553
In 2.2750 0.0000 3.5553
In 2.2750 -4.4963 3.5553
Ga 3.5682 2.2262 0.0000
Ga 3.5682 -2.2262 0.0000
Sn 1.2395 2.2788 1.6523
Sn 0.0252 0.0000 5.5910
Sn 1.2395 -2.2788 1.6523
Sn 3.3104 2.2788 5.4583
Sn 4.5247 0.0000 1.5196
Sn 3.3104 -2.2788 5.4583
```



# 8
The following is a PBE-GGA calculation of In8GaSn6 after structural relaxation, from the Alexandria database.

As for the total moment: 0.000 Bohr magnetons per cell. For the density of states at the Fermi level, the calculation gives 5.9 states/eV/cell. The formation energy is 0.051 eV per atom. The value obtained for the total energy is -3.212 eV/atom. The space group is R-3 (148).

```
15
Lattice="4.3539 2.5137 6.3328 -4.3539 2.5137 6.3328 0.0000 -5.0274 6.3328" Properties=species:S:1:pos:R:3 pbc="T T T"
In 0.0000 0.0000 1.5127
In -1.8726 0.4662 6.8345
In 0.5325 -1.8548 6.8345
In -1.3400 -1.3886 12.1638
In 1.3400 1.3886 6.8345
In -0.5325 1.8548 12.1638
In 1.8726 -0.4662 12.1638
In 0.0000 0.0000 17.4856
Ga 0.0000 0.0000 9.4992
Sn -2.1441 -2.1430 8.9238
Sn -2.9279 0.7854 10.0745
Sn 0.7838 -2.9283 10.0745
Sn -0.7838 2.9283 8.9238
Sn 2.9279 -0.7854 8.9238
Sn 2.1441 2.1430 10.0745
```



# 9
The following is a PBE-GGA calculation of InGa4Sn after structural relaxation, from the Alexandria database.

For the energy above the most stable polymorph in this dataset, the calculation gives 0.000 eV/atom. As for the total moment: 0.000 Bohr magnetons per cell. For the density of states at the Fermi level, the calculation gives 1.3 states/eV/cell. The formation energy is 0.042 eV per atom. The value obtained for the total energy is -3.099 eV/atom. The space group is P6/mmm (191).

```
6
Lattice="4.9039 0.0000 0.0000 -2.4519 4.2469 0.0000 0.0000 0.0000 6.3712" Properties=species:S:1:pos:R:3 pbc="T T T"
In 0.0000 0.0000 0.0000
Ga 0.0000 2.8313 1.6315
Ga 0.0000 2.8313 4.7397
Ga 2.4519 1.4156 1.6315
Ga 2.4519 1.4156 4.7397
Sn 0.0000 0.0000 3.1856
```



# 10
The following is a PBE-GGA calculation of In2GaSn2 after structural relaxation, from the Alexandria database.

For the energy above the most stable polymorph in this dataset, the calculation gives 0.059 eV/atom. As for the total moment: 0.000 Bohr magnetons per cell. For the density of states at the Fermi level, the calculation gives 5.5 states/eV/cell. The formation energy is 0.105 eV per atom. The value obtained for the total energy is -3.197 eV/atom. The space group is P4/mbm (127).

```
10
Lattice="7.7668 0.0000 0.0000 0.0000 7.7668 0.0000 0.0000 0.0000 4.5853" Properties=species:S:1:pos:R:3 pbc="T T T"
In 1.2938 2.5896 0.0000
In 2.5896 6.4730 0.0000
In 5.1772 1.2938 0.0000
In 6.4730 5.1772 0.0000
Ga 0.0000 0.0000 2.2926
Ga 3.8834 3.8834 2.2926
Sn 1.0970 4.9803 2.2926
Sn 2.7864 1.0970 2.2926
Sn 4.9803 6.6698 2.2926
Sn 6.6698 2.7864 2.2926
```



# 11
The following is a PBE-GGA calculation of In3Ga4Sn2 after structural relaxation, from the Alexandria database.

For the energy above the most stable polymorph in this dataset, the calculation gives 0.019 eV/atom. As for the total moment: 0.000 Bohr magnetons per cell. For the density of states at the Fermi level, the calculation gives 3.3 states/eV/cell. The formation energy is 0.062 eV per atom. The value obtained for the total energy is -3.086 eV/atom. The space group is C2/m (12).

```
9
Lattice="5.9943 -2.1068 0.0000 5.9943 2.1068 0.0000 -3.8211 0.0000 8.8320" Properties=species:S:1:pos:R:3 pbc="T T T"
In 0.0000 0.0000 0.0000
In 3.4735 0.0000 2.6131
In 4.6939 0.0000 6.2189
Ga -0.6938 0.0000 3.8521
Ga -0.0586 0.0000 8.5619
Ga 8.2260 0.0000 0.2701
Ga 8.8612 0.0000 4.9798
Sn 1.2385 0.0000 6.0629
Sn 6.9289 0.0000 2.7690
```